Run a
Below is an optimized crystal structure of SrSi2Hg2, with properties calculated at the GGA-PBE level.

D(E_F) = 1.19 states/eV per cell
Volume = 117 Å³/f.u.

a = 4.7126 Å, b = 4.7126 Å, c = 10.5491 Å
α = 90.00°, β = 90.00°, γ = 90.00°
Positions (direct):
Sr 0.0000 0.0000 0.0000
Sr 0.5000 0.5000 0.5000
Si 0.0000 0.0000 0.3893
Si 0.0000 0.0000 0.6107
Si 0.5000 0.5000 0.1107
Si 0.5000 0.5000 0.8893
Hg 0.0000 0.5000 0.2500
Hg 0.0000 0.5000 0.7500
Hg 0.5000 0.0000 0.2500
Hg 0.5000 0.0000 0.7500

Run b
Below is an optimized crystal structure of SrSi2Hg2, with properties calculated at the GGA-PBE level.

D(E_F) = 5.93 states/eV per cell
Volume = 123 Å³/f.u.

a = 7.7546 Å, b = 7.7546 Å, c = 4.0949 Å
α = 90.00°, β = 90.00°, γ = 90.00°
Positions (direct):
Sr 0.0000 0.0000 0.0000
Sr 0.5000 0.5000 0.0000
Si 0.1075 0.3925 0.0000
Si 0.3925 0.8925 0.0000
Si 0.6075 0.1075 0.0000
Si 0.8925 0.6075 0.0000
Hg 0.1724 0.6724 0.5000
Hg 0.3276 0.1724 0.5000
Hg 0.6724 0.8276 0.5000
Hg 0.8276 0.3276 0.5000

Run c
Below is an optimized crystal structure of SrSi2Hg2, with properties calculated at the GGA-PBE level.

D(E_F) = 3.53 states/eV per cell
Volume = 119 Å³/f.u.

a = 4.5345 Å, b = 4.5345 Å, c = 11.6179 Å
α = 90.00°, β = 90.00°, γ = 90.00°
Positions (direct):
Sr 0.0000 0.0000 0.0000
Sr 0.5000 0.5000 0.5000
Si 0.0000 0.5000 0.2500
Si 0.0000 0.5000 0.7500
Si 0.5000 0.0000 0.2500
Si 0.5000 0.0000 0.7500
Hg 0.0000 0.0000 0.3791
Hg 0.0000 0.0000 0.6209
Hg 0.5000 0.5000 0.1209
Hg 0.5000 0.5000 0.8791

Which of them is least stable? Easy: run b.